1.
CdRuAu2 PBE optimized geometry; Fermi-level density of states = 0.926 states/eV per atom; crystal system = orthorhombic; ΔH_f (0 K) = 0.23 eV per atom
1.0
-1.0367 -3.1779 3.4292
-0.8520 -1.8878 -2.0070
4.6884 -1.8248 -0.2736
Au Cd Ru
2 1 1
Cartesian
4.3108 -1.9556 -0.5090
0.7606 -2.3639 1.3831
1.6037 -2.0117 -1.3793
2.7311 -4.2404 0.2399



2.
NbSnMo PBE optimized geometry; Fermi-level density of states = 0.610 states/eV per atom; crystal system = trigonal; ΔH_f (0 K) = 0.24 eV per atom; energy relative to the lowest polymorph listed for this composition = 262 meV per atom
1.0
4.8325 0.0000 0.0000
2.4162 4.1850 0.0000
2.4162 1.3950 5.9722
Mo Sn Nb
2 2 2
Cartesian
2.4162 1.3950 4.6469
7.2487 4.1850 1.3253
4.8325 2.7900 1.0620
4.8325 2.7900 4.9102
2.4162 1.3950 2.1615
7.2487 4.1850 3.8107